# 1
DFT (PBE) results for a relaxed Mn2Cr crystal.

a = 3.9971 Å, b = 3.9971 Å, c = 2.4347 Å
α = 90.00°, β = 90.00°, γ = 120.00°
Closest atoms and distances in Å follow each position.
Element x y z (fractional)
Mn  0.6667  0.3333  0.7012  3 Cr 2.42, 5 Mn 2.43-2.51
Mn  0.3333  0.6667  0.2988  3 Cr 2.42, 5 Mn 2.43-2.51
Cr  0.0000  0.0000  0.0000  6 Mn 2.42, 2 Cr 2.43

Calculated values
The value obtained for the density of states at the Fermi level is 4.22 states/eV/cell. The formation enthalpy at 0 K comes out at 0.081 eV per atom.


# 2
DFT (PBE) results for a relaxed Mn2CrMo crystal.

a = 2.5682 Å, b = 2.5682 Å, c = 8.0340 Å
α = 90.00°, β = 90.00°, γ = 108.12°
Closest atoms and distances in Å follow each position.
Element x y z (fractional)
Mn  0.0000  0.0000  0.0007  6 Mn 2.40-2.57, 2 Cr 2.41
Mn  0.5000  0.5000  0.2337  6 Mn 2.40-2.57, 2 Mo 2.60
Cr  0.5000  0.5000  0.7674  2 Mn 2.41, 4 Cr 2.57, 2 Mo 2.64
Mo  0.0000  0.0000  0.4981  4 Mo 2.57, 2 Mn 2.60, 2 Cr 2.64

Calculated values
The calculation puts the energy relative to the lowest polymorph listed for this composition at 0.060 eV/atom. The value obtained for the density of states at the Fermi level is 5.13 states/eV/cell. The formation enthalpy at 0 K comes out at 0.149 eV per atom.


# 3
DFT (PBE) results for a relaxed MnCrMo2 crystal.

a = 4.3011 Å, b = 4.3011 Å, c = 4.3011 Å
α = 60.00°, β = 60.00°, γ = 60.00°
Closest atoms and distances in Å follow each position.
Element x y z (fractional)
Cr  0.5000  0.5000  0.5000  4 Mn 2.63, 4 Mo 2.63
Mo  0.0000  0.0000  0.0000  4 Mn 2.63, 4 Mo 2.63
Mo  0.2500  0.2500  0.2500  4 Cr 2.63, 4 Mo 2.63
Mn  0.7500  0.7500  0.7500  4 Cr 2.63, 4 Mo 2.63

Calculated values
The calculation puts the energy relative to the lowest polymorph listed for this composition at 0.029 eV/atom. The value obtained for the density of states at the Fermi level is 3.87 states/eV/cell. The formation enthalpy at 0 K comes out at 0.121 eV per atom.


# 4
DFT (PBE) results for a relaxed Mn2CrMo crystal.

a = 8.5926 Å, b = 8.5926 Å, c = 8.5926 Å
α = 17.53°, β = 17.53°, γ = 17.53°
Closest atoms and distances in Å follow each position.
Element x y z (fractional)
Mo  0.2500  0.2500  0.2500  6 Mo 2.62, 6 Mn 2.74
Cr  0.7500  0.7500  0.7500  6 Mn 2.47, 6 Cr 2.62
Mn  0.4935  0.4935  0.4935  3 Cr 2.47, 6 Mn 2.62, 3 Mo 2.74
Mn  0.0065  0.0065  0.0065  3 Cr 2.47, 6 Mn 2.62, 3 Mo 2.74

Calculated values
The calculation puts the energy relative to the lowest polymorph listed for this composition at 0.220 eV/atom. The value obtained for the density of states at the Fermi level is 4.70 states/eV/cell. The formation enthalpy at 0 K comes out at 0.309 eV per atom.


# 5
DFT (PBE) results for a relaxed Mn2CrMo crystal.

a = 4.1172 Å, b = 2.5639 Å, c = 4.8507 Å
α = 79.88°, β = 90.00°, γ = 90.00°
Closest atoms and distances in Å follow each position.
Element x y z (fractional)
Mn  0.5000  0.2734  0.2447  2 Cr 2.40-2.68, 2 Mo 2.51, 4 Mn 2.56-2.58
Mn  0.0000  0.9798  0.9912  2 Cr 2.45, 2 Mo 2.52-2.55, 4 Mn 2.56-2.58
Cr  0.5000  0.7401  0.7710  4 Mn 2.40-2.68, 2 Cr 2.56, 2 Mo 2.59
Mo  0.0000  0.5067  0.4931  4 Mn 2.51-2.55, 2 Mo 2.56, 2 Cr 2.59

Calculated values
The calculation puts the energy relative to the lowest polymorph listed for this composition at 0.044 eV/atom. The value obtained for the density of states at the Fermi level is 4.85 states/eV/cell. The formation enthalpy at 0 K comes out at 0.133 eV per atom.


# 6
DFT (PBE) results for a relaxed Mn2CrMo crystal.

a = 4.8013 Å, b = 4.8013 Å, c = 4.8013 Å
α = 143.76°, β = 128.60°, γ = 64.51°
Closest atoms and distances in Å follow each position.
Element x y z (fractional)
Cr  0.2500  0.7500  0.5000  4 Mn 2.48, 4 Mo 2.56
Mn  0.4935  0.4935  0.0000  2 Cr 2.48, 2 Mo 2.56, 4 Mn 2.56
Mn  0.0065  0.0065  0.0000  2 Cr 2.48, 2 Mo 2.56, 4 Mn 2.56
Mo  0.7500  0.2500  0.5000  4 Cr 2.56, 4 Mn 2.56

Calculated values
The calculation puts the energy relative to the lowest polymorph listed for this composition at 0.022 eV/atom. The value obtained for the density of states at the Fermi level is 4.42 states/eV/cell. The formation enthalpy at 0 K comes out at 0.111 eV per atom.


# 7
DFT (PBE) results for a relaxed Mn2CrMo crystal.

a = 6.5538 Å, b = 6.5538 Å, c = 5.2889 Å
α = 51.71°, β = 51.71°, γ = 90.00°
Closest atoms and distances in Å follow each position.
Element x y z (fractional)
Mn  0.1486  0.6250  0.2500  2 Cr 2.30, 2 Mo 2.51, 2 Mn 2.57
Mn  0.8750  0.8514  0.7500  2 Cr 2.30, 2 Mo 2.51, 2 Mn 2.57
Mn  0.6014  0.1250  0.2500  2 Cr 2.30, 2 Mo 2.51, 2 Mn 2.57
Mn  0.3750  0.3986  0.7500  2 Cr 2.30, 2 Mo 2.51, 2 Mn 2.57
Cr  0.5000  0.5000  0.0000  4 Mn 2.30, 2 Mo 2.55
Cr  0.2500  0.7500  0.5000  4 Mn 2.30, 2 Mo 2.55
Mo  0.7500  0.2500  0.5000  4 Mn 2.51, 2 Cr 2.55
Mo  0.0000  0.0000  0.0000  4 Mn 2.51, 2 Cr 2.55

Calculated values
The calculation puts the energy relative to the lowest polymorph listed for this composition at 0.534 eV/atom. The value obtained for the density of states at the Fermi level is 8.97 states/eV/cell. The formation enthalpy at 0 K comes out at 0.624 eV per atom.


# 8
DFT (PBE) results for a relaxed Mn2CrMo crystal.

a = 4.1259 Å, b = 4.1259 Å, c = 4.1259 Å
α = 60.00°, β = 60.00°, γ = 60.00°
Closest atoms and distances in Å follow each position.
Element x y z (fractional)
Cr  0.0000  0.0000  0.0000  8 Mn 2.53
Mo  0.5000  0.5000  0.5000  8 Mn 2.53
Mn  0.7500  0.7500  0.7500  4 Mo 2.53, 4 Cr 2.53
Mn  0.2500  0.2500  0.2500  4 Mo 2.53, 4 Cr 2.53

Calculated values
The calculation puts the energy relative to the lowest polymorph listed for this composition at 0.054 eV/atom. The value obtained for the density of states at the Fermi level is 6.60 states/eV/cell. The formation enthalpy at 0 K comes out at 0.143 eV per atom.


Q: density of states at the Fermi level of number 6 (Mn2CrMo)?
A: 4.42 states/eV/cell


Q: Which of these has the lowest density of states at the Fermi level?
A: MnCrMo2


Q: Among the records above, which one has the lowest formation enthalpy at 0 K?
A: Mn2Cr


Copy entry 2 word for word.
DFT (PBE) results for a relaxed Mn2CrMo crystal.

a = 2.5682 Å, b = 2.5682 Å, c = 8.0340 Å
α = 90.00°, β = 90.00°, γ = 108.12°
Closest atoms and distances in Å follow each position.
Element x y z (fractional)
Mn  0.0000  0.0000  0.0007  6 Mn 2.40-2.57, 2 Cr 2.41
Mn  0.5000  0.5000  0.2337  6 Mn 2.40-2.57, 2 Mo 2.60
Cr  0.5000  0.5000  0.7674  2 Mn 2.41, 4 Cr 2.57, 2 Mo 2.64
Mo  0.0000  0.0000  0.4981  4 Mo 2.57, 2 Mn 2.60, 2 Cr 2.64

Calculated values
The calculation puts the energy relative to the lowest polymorph listed for this composition at 0.060 eV/atom. The value obtained for the density of states at the Fermi level is 5.13 states/eV/cell. The formation enthalpy at 0 K comes out at 0.149 eV per atom.